No. 1
# DyHoPb2 PBE-GGA relaxed
data_DyHoPb2
_chemical_formula_sum 'Dy1 Ho1 Pb2'
_space_group_name_H-M_alt 'P 1 m 1'
_space_group_IT_number 6
_cell_length_a 4.4905
_cell_length_b 4.4437
_cell_length_c 6.2433
_cell_angle_alpha 90.00
_cell_angle_beta 111.04
_cell_angle_gamma 90.00
loop_
_space_group_symop_operation_xyz
'x,y,z'
'x,-y,z'
loop_
_atom_site_label
_atom_site_type_symbol
_atom_site_fract_x
_atom_site_fract_y
_atom_site_fract_z
Dy1 Dy 0.0000 0.0000 0.0000
Ho1 Ho 0.2564 0.5000 0.5170
Pb1 Pb 0.5280 0.5000 0.0553
Pb2 Pb 0.7283 0.0000 0.4617
# - Calculated volume: 29.1 Å³ per atom
# - DOS at the Fermi energy: 2.375 states/eV per cell
# - DFT formation energy: -1.86 eV/f.u.
# - Spin magnetization: 0.0 μB per cell
# - Total DFT energy (no corrections): -18.461 eV per cell

***

No. 2
# Dy4HoPb2 PBE-GGA relaxed
data_Dy4HoPb2
_chemical_formula_sum 'Dy8 Ho2 Pb4'
_space_group_name_H-M_alt 'I 4/m m m'
_space_group_IT_number 139
_space_group_name_Hall '-I 4 2'
_cell_length_a 5.3695
_cell_length_b 5.3695
_cell_length_c 16.5748
_cell_angle_alpha 90.00
_cell_angle_beta 90.00
_cell_angle_gamma 90.00
loop_
_atom_site_label
_atom_site_type_symbol
_atom_site_fract_x
_atom_site_fract_y
_atom_site_fract_z
Dy1 Dy 0.0000 0.0000 0.1831
Dy2 Dy 0.0000 0.5000 0.0000
Ho1 Ho 0.0000 0.0000 0.0000
Pb1 Pb 0.0000 0.0000 0.3694
# - Calculated volume: 34.1 Å³ per atom
# - DOS at the Fermi energy: 16.516 states/eV per cell
# - DFT formation energy: 3.13 eV/f.u.
# - Spin magnetization: 0.0 μB per cell
# - Total DFT energy (no corrections): -54.541 eV per cell

***

No. 3
# Dy2HoPb PBE-GGA relaxed
data_Dy2HoPb
_chemical_formula_sum 'Dy2 Ho1 Pb1'
_space_group_name_H-M_alt 'P 4/m m m'
_space_group_IT_number 123
_space_group_name_Hall '-P 4 2'
_cell_length_a 3.6172
_cell_length_b 3.6172
_cell_length_c 9.2588
_cell_angle_alpha 90.00
_cell_angle_beta 90.00
_cell_angle_gamma 90.00
loop_
_atom_site_label
_atom_site_type_symbol
_atom_site_fract_x
_atom_site_fract_y
_atom_site_fract_z
Dy1 Dy 0.0000 0.0000 0.2363
Ho1 Ho 0.5000 0.5000 0.5000
Pb1 Pb 0.5000 0.5000 0.0000
# - Calculated volume: 30.3 Å³ per atom
# - DOS at the Fermi energy: 3.854 states/eV per cell
# - DFT formation energy: -0.83 eV/f.u.
# - Spin magnetization: 0.0 μB per cell
# - Total DFT energy (no corrections): -18.319 eV per cell
# - Energy above the lowest structure with this stoichiometry: 0.0681 eV/atom

***

No. 4
# DyHo4Pb5 PBE-GGA relaxed
data_DyHo4Pb5
_chemical_formula_sum 'Dy2 Ho8 Pb10'
_space_group_name_H-M_alt 'I 4'
_space_group_IT_number 79
_cell_length_a 9.9220
_cell_length_b 9.9220
_cell_length_c 6.2752
_cell_angle_alpha 90.00
_cell_angle_beta 90.00
_cell_angle_gamma 90.00
loop_
_space_group_symop_operation_xyz
'x,y,z'
'-y,x,z'
'-x,-y,z'
'y,-x,z'
'x+1/2,y+1/2,z+1/2'
'-y+1/2,x+1/2,z+1/2'
'-x+1/2,-y+1/2,z+1/2'
'y+1/2,-x+1/2,z+1/2'
loop_
_atom_site_label
_atom_site_type_symbol
_atom_site_fract_x
_atom_site_fract_y
_atom_site_fract_z
Dy1 Dy 0.0000 0.0000 0.0000
Ho1 Ho 0.1002 0.7001 0.4991
Pb1 Pb 0.0000 0.0000 0.5000
Pb2 Pb 0.1000 0.6995 0.9990
# - Calculated volume: 30.9 Å³ per atom
# - DOS at the Fermi energy: 17.178 states/eV per cell
# - DFT formation energy: -3.12 eV/f.u.
# - Spin magnetization: 0.0 μB per cell
# - Total DFT energy (no corrections): -89.147 eV per cell

***

> The highest DOS at the Fermi energy belongs to which entry?

DyHo4Pb5